VASP calculation (PBE) on a relaxed KSiSN2 crystal.

Summary:
DOS(E_F): 0.502 states/eV per atom
magnetization: 0.461 μB/atom
calculated volume: 70.22 Å³ per cell
offset from the most stable computed form: 0.0000 eV per atom

Cell lengths 3.8478, 3.8478, 4.7429 Å; angles 90.00, 90.00, 90.00 degrees
Space group P4/mmm (No. 123)
Inequivalent atoms, fractional coordinates:
K (0.0000, 0.0000, 0.0000) x1
Si (0.5000, 0.5000, 0.5000) x1
S (0.5000, 0.5000, 0.0000) x1
N (0.0000, 0.5000, 0.5000) x2